# 1
First-principles (PBE) data for a relaxed structure of ScSi2Pb, as listed in Alexandria via LeMat-Bulk.

Lattice parameters (Å, degrees): 4.0532 4.4460 4.4687 90.00 90.00 90.00
Last column: nearest neighbours and their distance in Å.
Element x y z (fractional)
Sc 0.0000 0.0000 0.0000  8 Si 3.01-3.02, 4 Pb 3.15
Si 0.5000 0.0000 0.5000  4 Pb 3.01, 4 Sc 3.02, 4 Si 3.15
Si 0.5000 0.5000 0.0000  4 Sc 3.01, 4 Pb 3.02, 4 Si 3.15
Pb 0.0000 0.5000 0.5000  8 Si 3.01-3.02, 4 Sc 3.15

- raw formation energy (eV/atom) = 0.046
- SG = No. 47

# 2
First-principles (PBE) data for a relaxed structure of Zr2CoIrC, as listed in Alexandria via LeMat-Bulk.

Lattice parameters (Å, degrees): 4.5709 4.5709 3.6652 90.00 90.00 90.00
Last column: nearest neighbours and their distance in Å.
Element x y z (fractional)
Zr 0.0000 0.5000 0.0000  2 C 2.29
Zr 0.5000 0.0000 0.0000  2 C 2.29
Co 0.0000 0.0000 0.5000  2 C 1.83
Ir 0.5000 0.5000 0.5000  8 Zr 2.93, 4 Co 3.23
C 0.0000 0.0000 0.0000  2 Co 1.83

- formation enthalpy at 0 K (kJ/mol of formula units) = -231
- SG = No. 123

no.,N(E_F) (states/eV per atom)
1,0.544
2,0.758